PtRh2 | PBE-GGA | relaxed

The magnetization comes out at 0.0 Bohr magnetons per cell. The calculation puts the offset from the most stable computed form at 225 meV/atom. The calculated volume is 15.09 A^3/atom. As for the theoretical density: 14.706 Mg/m³. As for the formation energy: 58 kJ/mol of formula units.

It has space group P6_3/mmc (No. 194), with a = 4.4128 Å, b = 4.4128 Å, c = 5.3687 Å, α = 90.00°, β = 90.00° and γ = 120.00°. Symmetry generates all atoms from Pt at (0.3333, 0.6667, 0.2500), Rh at (0.0000, 0.0000, 0.0000) and Rh at (0.3333, 0.6667, 0.7500).

---

Y3Tc | PBE-GGA | relaxed

The magnetization comes out at 0.0 Bohr magnetons per cell. The calculated volume is 25.12 A^3/atom. As for the theoretical density: 6.028 Mg/m³. As for the formation energy: 92 kJ/mol of formula units.

It has space group I4/mmm (No. 139), with a = 5.292 Å, b = 5.292 Å, c = 14.351 Å, α = 90.00°, β = 90.00° and γ = 90.00°. Symmetry generates all atoms from Y at (0.000, 0.000, 0.145), Y at (0.000, 0.500, 0.000), Y at (0.000, 0.500, 0.250) and Tc at (0.000, 0.000, 0.360).

---

SrCa2AlIr | PBE-GGA | relaxed

The magnetization comes out at 0.0 Bohr magnetons per cell. The calculated volume is 30.67 A^3/atom. As for the theoretical density: 4.190 Mg/m³. As for the formation energy: -117 kJ/mol of formula units.

It has space group P4/mmm (No. 123), with a = 5.581 Å, b = 5.581 Å, c = 4.923 Å, α = 90.00°, β = 90.00° and γ = 90.00°. Symmetry generates all atoms from Sr at (0.000, 0.000, 0.000), Ca at (0.000, 0.500, 0.500), Al at (0.500, 0.500, 0.000) and Ir at (0.500, 0.500, 0.500).

---

Np2BiF11 | PBE-GGA | relaxed

The uncorrected formation energy is -3.17 eV/atom. The magnetization comes out at 24.0 Bohr magnetons per cell. The calculated volume is 17.74 A^3/atom. As for the theoretical density: 5.963 Mg/m³.

It has space group Ibam (No. 72), with a = 8.457 Å, b = 10.428 Å, c = 11.267 Å, α = 90.00°, β = 90.00° and γ = 90.00°. Symmetry generates all atoms from Np at (0.151, 0.181, 0.000), Bi at (0.000, 0.500, 0.250), F at (0.000, 0.000, 0.000), F at (0.092, 0.319, 0.141), F at (0.128, 0.216, 0.500) and F at (0.222, 0.431, 0.364).

---

Cu4IrBr | PBE-GGA | relaxed

The uncorrected formation energy is 0.54 eV/atom. The magnetization comes out at 0.0 Bohr magnetons per cell. The calculated volume is 14.11 A^3/atom. As for the theoretical density: 10.326 Mg/m³.

It has space group F-43m (No. 216), with a = 6.970 Å, b = 6.970 Å, c = 6.970 Å, α = 90.00°, β = 90.00° and γ = 90.00°. Symmetry generates all atoms from Cu at (0.124, 0.124, 0.124), Ir at (0.250, 0.250, 0.750) and Br at (0.000, 0.000, 0.500).

---

KTmSe2 | PBE-GGA | relaxed

The uncorrected formation energy is -1.73 eV/atom. The magnetization comes out at 0.0 Bohr magnetons per cell. The calculated volume is 29.01 A^3/atom. As for the theoretical density: 5.237 Mg/m³.

It has space group R3m (No. 160, hexagonal axes), with a = 4.1428 Å, b = 4.1428 Å, c = 23.4187 Å, α = 90.00°, β = 90.00° and γ = 120.00°. Symmetry generates all atoms from K at (0.0000, 0.0000, 0.0000), Tm at (0.0000, 0.0000, 0.1691), Se at (0.0000, 0.0000, 0.5694) and Se at (0.0000, 0.0000, 0.7686).